The following is a DFT calculation (PBE) of a relaxed structure of Y7Pt2Au2.

Cell: 6.742 6.742 7.106 Å, 90.00 90.00 106.53°
Fractional positions:
Y  0.000  0.000  0.000
Y  0.000  0.500  0.260
Y  0.000  0.500  0.740
Y  0.500  0.000  0.260
Y  0.500  0.000  0.740
Y  0.500  0.500  0.254
Y  0.500  0.500  0.746
Pt  0.285  0.715  0.000
Pt  0.715  0.285  0.000
Au  0.198  0.198  0.500
Au  0.802  0.802  0.500

Its symmetry is Cmmm. For the formation enthalpy at 0 K, the calculation gives -0.631 eV per atom.

=====

The following is a DFT calculation (PBE) of a relaxed structure of PmUAl2O8.

Cell: 4.682 4.682 6.753 Å, 90.00 90.00 91.97°
Fractional positions:
Pm  0.000  0.000  0.000
U  0.000  0.000  0.500
Al  0.500  0.500  0.259
Al  0.500  0.500  0.741
O  0.215  0.215  0.273
O  0.215  0.215  0.727
O  0.312  0.688  0.500
O  0.341  0.659  0.000
O  0.659  0.341  0.000
O  0.688  0.312  0.500
O  0.785  0.785  0.273
O  0.785  0.785  0.727

Its symmetry is Cmmm. The uncorrected formation energy is -2.784 eV/atom.

=====

The following is a DFT calculation (PBE) of a relaxed structure of U3TiAs4.

Cell: 8.039 11.246 3.959 Å, 90.00 90.00 90.00°
Fractional positions:
U  0.000  0.000  0.000
U  0.250  0.250  0.500
U  0.250  0.750  0.500
U  0.500  0.500  0.000
U  0.750  0.250  0.500
U  0.750  0.750  0.500
Ti  0.000  0.500  0.000
Ti  0.500  0.000  0.000
As  0.000  0.262  0.000
As  0.000  0.738  0.000
As  0.231  0.500  0.500
As  0.269  0.000  0.500
As  0.500  0.238  0.000
As  0.500  0.762  0.000
As  0.731  0.000  0.500
As  0.769  0.500  0.500

Its symmetry is Cmmm. For the formation enthalpy at 0 K, the calculation gives -0.738 eV per atom.

=====

The following is a DFT calculation (PBE) of a relaxed structure of KRbP2.

Cell: 9.262 9.262 5.481 Å, 90.00 90.00 90.00°
Fractional positions:
K  0.000  0.000  0.000
K  0.000  0.500  0.250
K  0.500  0.000  0.750
K  0.500  0.500  0.500
Rb  0.000  0.000  0.500
Rb  0.000  0.500  0.750
Rb  0.500  0.000  0.250
Rb  0.500  0.500  0.000
P  0.243  0.250  0.125
P  0.250  0.743  0.375
P  0.250  0.757  0.875
P  0.257  0.250  0.625
P  0.743  0.750  0.625
P  0.750  0.243  0.875
P  0.750  0.257  0.375
P  0.757  0.750  0.125

Its symmetry is I-42d. For the formation enthalpy at 0 K, the calculation gives 0.365 eV per atom.

=====

Calculated volume / Å³/cell: 310, 148, 358, 470